Density functional theory data (PBE) for a geometry-optimized La15Tl2In2 structure.

The formation energy is 89 meV/atom. The calculated total energy comes out at -82.43 eV per formula unit.

The space group is R-3m (No. 166, hexagonal axes) and the conventional cell measures 10.5046, 10.5046 and 19.6612 Å, with angles of 90.00, 90.00 and 120.00 degrees. The inequivalent atoms are La at (0.0000, 0.2989, 0.0000), La at (0.0000, 0.5000, 0.5000), La at (0.0546, 0.5273, 0.1190), Tl at (0.0000, 0.0000, 0.0904) and In at (0.0000, 0.0000, 0.3079).